Entry 1:
BeCl (PBE, optimized geometry); crystal system = cubic; polymorph energy (0 for the lowest one) = 0.3402 eV per atom
1.0
7.9661 0.0000 0.0000
0.0000 7.9661 0.0000
0.0000 0.0000 7.9661
Be Cl
8 8
direct
0.0990 0.0990 0.0990 Be
0.0990 0.9010 0.9010 Be
0.4010 0.4010 0.5990 Be
0.4010 0.5990 0.4010 Be
0.5990 0.4010 0.4010 Be
0.5990 0.5990 0.5990 Be
0.9010 0.0990 0.9010 Be
0.9010 0.9010 0.0990 Be
0.2311 0.2311 0.2311 Cl
0.2311 0.7689 0.7689 Cl
0.2689 0.2689 0.7311 Cl
0.2689 0.7311 0.2689 Cl
0.7311 0.2689 0.2689 Cl
0.7311 0.7311 0.7311 Cl
0.7689 0.2311 0.7689 Cl
0.7689 0.7689 0.2311 Cl

Entry 2:
Be2Cl3 (PBE, optimized geometry); crystal system = orthorhombic
1.0
0.0000 7.9005 3.2729
4.8680 0.0000 3.2729
4.8680 7.9005 0.0000
Be Cl
4 6
direct
0.0252 0.9748 0.0985 Be
0.1515 0.3485 0.2248 Be
0.3485 0.1515 0.2752 Be
0.9748 0.0252 0.9015 Be
0.2725 0.4952 0.2954 Cl
0.3131 0.9546 0.7548 Cl
0.4952 0.2725 0.9369 Cl
0.7316 0.7316 0.2684 Cl
0.9546 0.3131 0.9775 Cl
0.9816 0.9816 0.5184 Cl

Entry 3:
BeCl (PBE, optimized geometry); crystal system = tetragonal; polymorph energy (0 for the lowest one) = 0.1270 eV per atom
1.0
11.6442 0.0000 0.0000
0.0000 11.6442 0.0000
0.0000 0.0000 3.2449
Be Cl
8 8
direct
0.0275 0.1205 0.0000 Be
0.1080 0.5382 0.5000 Be
0.1205 0.9725 0.0000 Be
0.4618 0.1080 0.5000 Be
0.5382 0.8920 0.5000 Be
0.8795 0.0275 0.0000 Be
0.8920 0.4618 0.5000 Be
0.9725 0.8795 0.0000 Be
0.0439 0.3743 0.5000 Cl
0.2072 0.5716 0.0000 Cl
0.3743 0.9561 0.5000 Cl
0.4284 0.2072 0.0000 Cl
0.5716 0.7928 0.0000 Cl
0.6257 0.0439 0.5000 Cl
0.7928 0.4284 0.0000 Cl
0.9561 0.6257 0.5000 Cl

Entry 4:
Be3Cl4 (PBE, optimized geometry); crystal system = tetragonal
1.0
2.9664 0.0000 0.0000
0.0000 2.9664 0.0000
0.0000 0.0000 30.3350
Be Cl
6 8
direct
0.0000 0.0000 0.0000 Be
0.0000 0.0000 0.2837 Be
0.0000 0.0000 0.7163 Be
0.5000 0.5000 0.2163 Be
0.5000 0.5000 0.5000 Be
0.5000 0.5000 0.7837 Be
0.0000 0.0000 0.1757 Cl
0.0000 0.0000 0.4532 Cl
0.0000 0.0000 0.5468 Cl
0.0000 0.0000 0.8243 Cl
0.5000 0.5000 0.0468 Cl
0.5000 0.5000 0.3243 Cl
0.5000 0.5000 0.6757 Cl
0.5000 0.5000 0.9532 Cl

Calculated volume in A^3/atom, matching the order above: 31.6, 25.2, 27.5, 19.1
Formation energy from raw total energies in eV per formula unit, matching the order above: -0.45, -2.77, -0.88, -0.54